# 1
Ti3PtO: relaxed, PBE-GGA.

Properties
DOS at the Fermi energy (states/eV per atom): 1.80
Calculated volume (Å³ per cell): 275.87
Final energy (eV/cell): -169.0
M_tot (Bohr magnetons per cell): 0.0
Formation energy from raw total energies (meV per atom): -1511

Cell lengths 5.722, 5.722, 8.426 Å; angles 90.00, 90.00, 90.00 degrees
Space group I4/mcm (No. 140)
Unique sites:
Ti  0.000  0.000  0.250
Ti  0.209  0.291  0.000
Pt  0.000  0.500  0.250
O  0.000  0.000  0.000

# 2
Sc2GaB: relaxed, PBE-GGA.

Properties
Relative energy among the computed polymorphs (meV per atom): 138
DOS at the Fermi energy (states/eV per atom): 0.82
Calculated volume (Å³ per cell): 289.91
Final energy (eV/cell): -89.2
Calculated formation energy (eV per atom): 0.018
M_tot (Bohr magnetons per cell): 0.0

Cell lengths 6.920, 6.920, 6.054 Å; angles 90.00, 90.00, 90.00 degrees
Space group I-42d (No. 122)
Unique sites:
Sc  0.197  0.250  0.125
Ga  0.000  0.000  0.500
B  0.000  0.000  0.000

- M_tot of number 1 (Ti3PtO)?
  0.0 Bohr magnetons per cell